## Al2RuBr (PBE-GGA)

Data for crystalline Al2RuBr at its relaxed geometry.

Relative energy among the computed polymorphs = 0.000 eV/atom
V = 71.87 Å³ per cell
Uncorrected energy = -5.019 eV per atom
Formation energy (no corrections) = -0.41 eV per atom

a = 3.0827 Å, b = 3.1418 Å, c = 7.4209 Å
α = 90.00°, β = 90.00°, γ = 90.00°
Last column: nearest neighbours and their distance in Å.
Sites, in units of the cell vectors:
Al: 0.0000 0.2500 0.5642  4 Ru 2.60, 1 Al 2.76, 2 Br 2.80
Al: 0.0000 0.2500 0.9358  4 Ru 2.60, 1 Al 2.76, 2 Br 2.80
Ru: 0.5000 0.7500 0.7500  8 Al 2.60
Br: 0.5000 0.2500 0.2500  4 Al 2.80, 2 Br 3.08



## AlRu2Br (PBE-GGA)

Data for crystalline AlRu2Br at its relaxed geometry.

Relative energy among the computed polymorphs = 0.257 eV/atom
V = 61.39 Å³ per cell
Uncorrected energy = -5.641 eV per atom
Formation energy (no corrections) = 0.35 eV per atom

a = 2.9911 Å, b = 5.0858 Å, c = 5.3407 Å
α = 49.08°, β = 90.00°, γ = 90.00°
Last column: nearest neighbours and their distance in Å.
Sites, in units of the cell vectors:
Br: 0.0000 0.0000 0.5000  6 Ru 2.63-2.67, 4 Al 2.95
Al: 0.5000 0.5000 0.5000  6 Ru 2.63-2.67, 4 Br 2.95
Ru: 0.5000 0.5000 0.0000  4 Br 2.63, 2 Al 2.67, 4 Ru 2.95
Ru: 0.0000 0.0000 0.0000  4 Al 2.63, 2 Br 2.67, 4 Ru 2.95



## Al2RuBr (PBE-GGA)

Data for crystalline Al2RuBr at its relaxed geometry.

Relative energy among the computed polymorphs = 0.567 eV/atom
V = 65.52 Å³ per cell
Uncorrected energy = -4.452 eV per atom
Formation energy (no corrections) = 0.16 eV per atom

a = 4.7074 Å, b = 4.7074 Å, c = 3.0544 Å
α = 89.99°, β = 89.99°, γ = 104.54°
Last column: nearest neighbours and their distance in Å.
Sites, in units of the cell vectors:
Br: 0.5000 0.0000 0.5000  8 Al 2.81, 2 Ru 2.88, 2 Br 3.05
Ru: 0.0000 0.5000 0.5000  8 Al 2.81, 2 Br 2.88, 2 Ru 3.05
Al: 0.0000 0.0000 0.0000  4 Br 2.81, 4 Ru 2.81, 4 Al 2.88-3.05
Al: 0.5000 0.5000 0.0000  4 Ru 2.81, 4 Br 2.81, 4 Al 2.88-3.05